Computed, not measured: a geometry-optimized BaTc2Br structure at the PBE-GGA level of DFT.

Results
Symmetry ... Immm, No. 71
Density of states at the Fermi level ... 6.47 states/eV per cell
Energy above the most stable polymorph in this dataset ... 762 meV/atom

Cell and atoms, written as CIF:
```
data_BaTc2Br
_symmetry_space_group_name_H-M 'P 1'
_symmetry_Int_Tables_number 1
_cell_length_a 6.331
_cell_length_b 6.331
_cell_length_c 6.331
_cell_angle_alpha 151.40
_cell_angle_beta 133.54
_cell_angle_gamma 55.47
loop_
_symmetry_equiv_pos_as_xyz
'x,y,z'
loop_
_atom_site_label
_atom_site_type_symbol
_atom_site_fract_x
_atom_site_fract_y
_atom_site_fract_z
Ba1 Ba 0.750 0.250 0.500
Br1 Br 0.250 0.750 0.500
Tc1 Tc 0.023 0.023 0.000
Tc2 Tc 0.477 0.477 0.000
```